VASP calculation (PBE-GGA) on BeAlTl4 after structural relaxation.

Output
* total DFT energy (no corrections): -2.06 eV/atom
* density of states at the Fermi level: 4.5 states/eV per cell
* SG: F-43m, No. 216
* energy of formation: 0.761 eV/atom

Cell lengths 6.3319, 6.3319, 6.3319 Å; angles 60.00, 60.00, 60.00 degrees
Last column: nearest neighbours and their distance in Å.
Fractional coordinates of all 6 atoms:
1 Be 0.0000 0.0000 0.0000  12 Tl 3.71, 4 Al 3.88
2 Al 0.2500 0.2500 0.2500  12 Tl 3.71, 4 Be 3.88
3 Tl 0.1247 0.6251 0.6251  6 Tl 3.16-3.17
4 Tl 0.6251 0.1247 0.6251  6 Tl 3.16-3.17
5 Tl 0.6251 0.6251 0.1247  6 Tl 3.16-3.17
6 Tl 0.6251 0.6251 0.6251  6 Tl 3.16-3.17

VASP calculation (PBE-GGA) on Be2AlTl after structural relaxation.

Output
* total DFT energy (no corrections): -2.89 eV/atom
* density of states at the Fermi level: 1.3 states/eV per cell
* energy relative to the lowest polymorph listed for this composition: 78 kJ/mol of formula units
* SG: Imm2, No. 44
* energy of formation: 0.499 eV/atom

Cell lengths 6.2291, 6.2291, 6.2291 Å; angles 152.45, 143.61, 46.24 degrees
Last column: nearest neighbours and their distance in Å.
Fractional coordinates of all 4 atoms:
1 Be 0.0000 0.0000 0.0000  2 Be 2.24, 4 Al 2.45
2 Be 0.8539 0.3539 0.5000  2 Be 2.24, 2 Al 2.49
3 Al 0.4893 0.4893 0.0000  6 Be 2.45-2.49
4 Tl 0.2182 0.7182 0.5000  6 Be 2.90-2.91, 2 Tl 2.97

VASP calculation (PBE-GGA) on BeAlTl2 after structural relaxation.

Output
* total DFT energy (no corrections): -2.49 eV/atom
* density of states at the Fermi level: 1.3 states/eV per cell
* energy relative to the lowest polymorph listed for this composition: 77 kJ/mol of formula units
* SG: Cmmm, No. 65
* energy of formation: 0.562 eV/atom

Cell lengths 3.3179, 3.3179, 7.9859 Å; angles 90.00, 90.00, 101.21 degrees
Last column: nearest neighbours and their distance in Å.
Fractional coordinates of all 4 atoms:
1 Be 0.0000 0.0000 0.0000  4 Tl 2.74
2 Al 0.0000 0.0000 0.5000  8 Tl 3.08-3.41, 4 Al 3.32
3 Tl 0.5000 0.5000 0.2191  2 Be 2.74
4 Tl 0.5000 0.5000 0.7809  2 Be 2.74

Q: The highest density of states at the Fermi level belongs to which entry?
A: BeAlTl4